1.
## ErVRe (GGA-PBE)

Data for crystalline ErVRe at its relaxed geometry.

Properties
spin magnetization: 0.000 μB/atom
formation energy: 0.06 eV per atom
energy: -8.6545 eV per atom

Cell: 3.2048 3.2048 10.6269 Å, 90.00 90.00 90.00°
With the nearest neighbours (Å) after each atom.
Space group I4mm (No. 107)
Symmetry-distinct sites (fractional):
Er (0.0000, 0.0000, 0.0000) [2 per cell]  5 Re 3.02-3.32, 5 V 3.10-3.20, 4 Er 3.20
V (0.0000, 0.0000, 0.6986) [2 per cell]  4 Re 2.57
Re (0.0000, 0.0000, 0.3120) [2 per cell]  4 V 2.57

***

2.
## TbNd2Sm2 (GGA-PBE)

Data for crystalline TbNd2Sm2 at its relaxed geometry.

Properties
spin magnetization: 0.000 μB/atom
formation energy: 0.03 eV per atom
energy: -4.6926 eV per atom

Cell: 16.1113 6.3692 6.9175 Å, 90.00 104.72 90.00°
With the nearest neighbours (Å) after each atom.
Space group C2/c (No. 15)
Symmetry-distinct sites (fractional):
Tb (0.0000, 0.0829, 0.2500) [4 per cell]  6 Sm 3.60-3.68, 4 Nd 3.61-3.67, 2 Tb 3.62
Nd (0.1990, 0.0843, 0.6505) [8 per cell]  2 Tb 3.61-3.67, 5 Sm 3.62-3.70, 5 Nd 3.62-3.69
Sm (0.0987, 0.4164, 0.9510) [8 per cell]  4 Sm 3.58-3.65, 3 Tb 3.60-3.68, 5 Nd 3.62-3.70

***

Please write out number 2 again, unchanged.
## TbNd2Sm2 (GGA-PBE)

Data for crystalline TbNd2Sm2 at its relaxed geometry.

Properties
spin magnetization: 0.000 μB/atom
formation energy: 0.03 eV per atom
energy: -4.6926 eV per atom

Cell: 16.1113 6.3692 6.9175 Å, 90.00 104.72 90.00°
With the nearest neighbours (Å) after each atom.
Space group C2/c (No. 15)
Symmetry-distinct sites (fractional):
Tb (0.0000, 0.0829, 0.2500) [4 per cell]  6 Sm 3.60-3.68, 4 Nd 3.61-3.67, 2 Tb 3.62
Nd (0.1990, 0.0843, 0.6505) [8 per cell]  2 Tb 3.61-3.67, 5 Sm 3.62-3.70, 5 Nd 3.62-3.69
Sm (0.0987, 0.4164, 0.9510) [8 per cell]  4 Sm 3.58-3.65, 3 Tb 3.60-3.68, 5 Nd 3.62-3.70